(1)
{
  "formula": "ZrScCoAs",
  "functional": "GGA-PBE",
  "state": "relaxed",
  "relative_energy_kcal_per_mol_atoms": 0.00,
  "m_tot_mub_per_fu": 1.435,
  "cell": [[-4.041, 1.334, 1.606], [-3.621, 0.099, -2.752], [-3.348, -3.032, 0.536]],
  "species": ["As", "Co", "Zr", "Sc"],
  "frac_coords": [[0.000, 0.000, 0.000], [0.750, 0.750, 0.750], [0.500, 0.500, 0.500], [0.250, 0.250, 0.250]]
}


(2)
{
  "formula": "CoAsSe",
  "functional": "GGA-PBE",
  "state": "relaxed",
  "e_tot_ha_per_atom": -0.200,
  "m_tot_mub_per_fu": 0.000,
  "cell": [[-1.495, 4.806, -2.793], [1.248, -2.572, -5.093], [-10.816, -3.793, -0.736]],
  "species": ["Se", "Se", "Se", "Se", "Se", "Se", "Se", "Se", "Co", "Co", "Co", "Co", "Co", "Co", "Co", "Co", "As", "As", "As", "As", "As", "As", "As", "As"],
  "frac_coords": [[0.878, 0.944, 0.820], [0.622, 0.444, 0.820], [0.378, 0.944, 0.680], [0.622, 0.056, 0.320], [0.378, 0.556, 0.180], [0.878, 0.556, 0.320], [0.122, 0.444, 0.680], [0.122, 0.056, 0.180], [0.002, 0.175, 0.373], [0.998, 0.675, 0.127], [0.498, 0.675, 0.373], [0.998, 0.825, 0.627], [0.498, 0.825, 0.873], [0.502, 0.175, 0.127], [0.502, 0.325, 0.627], [0.002, 0.325, 0.873], [0.366, 0.315, 0.435], [0.134, 0.815, 0.435], [0.866, 0.185, 0.565], [0.866, 0.315, 0.065], [0.634, 0.685, 0.565], [0.634, 0.815, 0.065], [0.134, 0.685, 0.935], [0.366, 0.185, 0.935]]
}